Entry 1:
This record from Alexandria describes a geometry-optimized CdSnI2 structure. The functional is PBE.

Uncorrected formation energy ... -0.045 eV/atom

abc: 8.0868 8.0868 8.0868
angles: 90.00 90.00 90.00
Space group Fm-3m (No. 225)
Asymmetric unit:
Cd1 0.0000 0.0000 0.0000 x4
Sn1 0.0000 0.0000 0.5000 x4
I1 0.2500 0.2500 0.2500 x8

Entry 2:
This record from Alexandria describes a geometry-optimized K3Rb2TlBr6 structure. The functional is PBE.

Uncorrected formation energy ... -1.601 eV/atom

abc: 21.0040 4.8111 9.6426
angles: 90.00 103.43 90.00
Space group C2/m (No. 12)
Asymmetric unit:
K1 0.0000 0.0000 0.0000 x2
K2 0.1660 0.5000 0.3338 x4
Rb1 0.1659 0.5000 0.8308 x4
Tl1 0.0000 0.0000 0.5000 x2
Br1 0.0026 0.5000 0.2493 x4
Br2 0.1639 0.0000 0.0895 x4
Br3 0.1672 0.0000 0.5746 x4

Entry 3:
This record from Alexandria describes a geometry-optimized CsNaSr2Cu structure. The functional is PBE.

Energy of formation from the pure elements ... 0.147 eV per atom

abc: 6.1073 6.1073 6.8919
angles: 90.00 90.00 90.00
Space group P4/mmm (No. 123)
Asymmetric unit:
Cs1 0.0000 0.0000 0.0000 x1
Na1 0.5000 0.5000 0.0000 x1
Sr1 0.0000 0.5000 0.5000 x2
Cu1 0.0000 0.0000 0.5000 x1

Entry 4:
This record from Alexandria describes a geometry-optimized K2Na4Pb structure. The functional is PBE.

Energy of formation from the pure elements ... -0.043 eV per atom

abc: 8.6685 6.8639 10.0767
angles: 90.00 94.99 90.00
Space group P2_1/m (No. 11)
Asymmetric unit:
K1 0.0706 0.2500 0.3985 x2
K2 0.1276 0.7500 0.9492 x2
Na1 0.2474 0.7500 0.3164 x2
Na2 0.3686 0.2500 0.0228 x2
Na3 0.3926 0.9996 0.6626 x4
Pb1 0.1166 0.2500 0.7674 x2

Fermi-level density of states across the listed records, respectively: 1.30; 0.00; 3.73; 3.10 states/eV/f.u..
Volume across the listed records, respectively: 528.84; 947.76; 257.06; 597.29 Å³/cell.